AgMoPb2O6 | GGA+U | optimized geometry

Structure (extended XYZ):
```
20
Lattice="5.5362 0.0000 -0.2111 0.0000 5.7213 0.0000 -0.3006 0.0000 9.4756" Properties=species:S:1:pos:R:3 pbc="T T T"
O 3.8059 1.4574 5.3258
O 1.3984 4.1400 0.4975
O 1.2194 1.2794 4.1347
O 0.3888 2.6226 7.6947
O 1.4297 4.2639 3.9387
O 4.8468 3.0986 1.5698
O 4.0162 4.4419 5.1298
O 4.0475 4.3180 8.5710
O 3.8372 1.5813 8.7670
O 1.9284 5.4832 6.4132
O 3.3072 0.2380 2.8513
O 1.1881 1.4032 0.6936
Ag -0.1503 2.8606 4.7378
Ag 2.7681 0.0000 -0.1056
Pb 2.6755 3.0818 6.9532
Pb 2.5601 2.6394 2.3114
Pb 0.0577 5.5001 2.3209
Pb 5.1779 0.2212 6.9436
Mo 2.6178 0.0000 4.6323
Mo 0.0000 2.8606 0.0000
```

The total energy is -5.7874 eV per atom.